P.
{
  "formula": "MgAsPb",
  "functional": "GGA-PBE",
  "state": "relaxed",
  "lattice": [[-2.853, 4.896, 3.027], [-6.103, 1.105, 1.674], [4.568, -4.510, -0.252]],
  "species": ["As", "Mg", "Pb"],
  "fractional_positions": [[0.943, 0.943, 0.000], [0.373, 0.373, 0.000], [0.683, 0.683, 0.000]],
  "space_group": "Imm2"
}



Q.
{
  "formula": "MgAsPb",
  "functional": "GGA-PBE",
  "state": "relaxed",
  "lattice": [[-0.055, -1.165, 4.066], [-2.905, -1.516, -2.674], [3.091, -3.985, -1.100]],
  "species": ["Pb", "As", "Mg"],
  "fractional_positions": [[0.333, 0.667, 0.701], [0.000, 0.000, 0.048], [0.667, 0.333, 0.251]],
  "space_group": "P3m1"
}



R.
{
  "formula": "MgAsPb",
  "functional": "GGA-PBE",
  "state": "relaxed",
  "lattice": [[4.928, 0.000, 0.000], [2.464, 4.268, 0.000], [2.464, 1.423, 4.024]],
  "species": ["As", "Mg", "Pb"],
  "fractional_positions": [[0.750, 0.750, 0.750], [0.000, 0.000, 0.000], [0.500, 0.500, 0.500]],
  "space_group": "F-43m"
}



Pick the least stable structure from those above. Pick: R